Record 1
The following is a DFT calculation (PBE) of a geometry-optimized VSbHPd2 structure.

a b c (Å): 4.0370 4.0370 4.2261
angles (deg): 90.00 90.00 90.00
Element x y z (fractional)
V 0.0000 0.0000 0.0000
Sb 0.5000 0.5000 0.0000
H 0.0000 0.0000 0.5000
Pd 0.0000 0.5000 0.5000
Pd 0.5000 0.0000 0.5000

Properties
calculated volume	68.9	Å³ per cell
E	-27.93	eV for the cell shown

Record 2
The following is a DFT calculation (PBE) of a geometry-optimized ZnSbHPd2 structure.

a b c (Å): 4.1945 4.1945 4.0494
angles (deg): 90.00 90.00 90.00
Element x y z (fractional)
Zn 0.0000 0.0000 0.0000
Sb 0.5000 0.5000 0.0000
H 0.0000 0.0000 0.5000
Pd 0.0000 0.5000 0.5000
Pd 0.5000 0.0000 0.5000

Properties
calculated volume	71.2	Å³ per cell
E	-19.71	eV for the cell shown

Record 3
The following is a DFT calculation (PBE) of a geometry-optimized Zr2SbHPd structure.

a b c (Å): 4.3986 4.3986 4.2639
angles (deg): 90.00 90.00 90.00
Element x y z (fractional)
Zr 0.0000 0.5000 0.0000
Zr 0.5000 0.0000 0.0000
Sb 0.0000 0.0000 0.5000
H 0.5000 0.5000 0.0000
Pd 0.5000 0.5000 0.5000

Properties
calculated volume	82.5	Å³ per cell
E	-32.65	eV for the cell shown

Record 4
The following is a DFT calculation (PBE) of a geometry-optimized ScH4Pd5 structure.

a b c (Å): 5.6518 8.3032 4.6956
angles (deg): 90.00 90.00 90.00
Element x y z (fractional)
Sc 0.2500 0.2500 0.2031
Sc 0.7500 0.7500 0.7969
H 0.0327 0.7500 0.4783
H 0.2500 0.5308 0.9277
H 0.2500 0.9692 0.9277
H 0.4673 0.7500 0.4783
H 0.5327 0.2500 0.5217
H 0.7500 0.0308 0.0723
H 0.7500 0.4692 0.0723
H 0.9673 0.2500 0.5217
Pd 0.0017 0.5810 0.2470
Pd 0.0017 0.9190 0.2470
Pd 0.2500 0.7500 0.7690
Pd 0.4983 0.5810 0.2470
Pd 0.4983 0.9190 0.2470
Pd 0.5017 0.0810 0.7530
Pd 0.5017 0.4190 0.7530
Pd 0.7500 0.2500 0.2310
Pd 0.9983 0.0810 0.7530
Pd 0.9983 0.4190 0.7530

Properties
calculated volume	220.4	Å³ per cell
E	-97.98	eV for the cell shown

Record 5
The following is a DFT calculation (PBE) of a geometry-optimized ScH8Pd6 structure.

a b c (Å): 5.2190 5.2190 5.2190
angles (deg): 99.38 99.38 99.38
Element x y z (fractional)
Sc 0.0000 0.0000 0.0000
H 0.1654 0.7918 0.6278
H 0.2082 0.3722 0.8346
H 0.2971 0.2971 0.2971
H 0.3722 0.8346 0.2082
H 0.6278 0.1654 0.7918
H 0.7029 0.7029 0.7029
H 0.7918 0.6278 0.1654
H 0.8346 0.2082 0.3722
Pd 0.1267 0.5772 0.2833
Pd 0.2833 0.1267 0.5772
Pd 0.4228 0.7167 0.8733
Pd 0.5772 0.2833 0.1267
Pd 0.7167 0.8733 0.4228
Pd 0.8733 0.4228 0.7167

Properties
calculated volume	135.7	Å³ per cell
E	-67.80	eV for the cell shown

Record 6
The following is a DFT calculation (PBE) of a geometry-optimized Sc2HPd6 structure.

a b c (Å): 5.7062 5.7062 5.7062
angles (deg): 120.29 120.29 89.51
Element x y z (fractional)
Sc 0.2500 0.7500 0.5000
Sc 0.7500 0.2500 0.5000
H 0.0000 0.0000 0.0000
Pd 0.2516 0.2516 0.0000
Pd 0.2518 0.2518 0.5036
Pd 0.2518 0.7482 0.0000
Pd 0.7482 0.2518 0.0000
Pd 0.7484 0.7484 0.0000
Pd 0.7482 0.7482 0.4964

Properties
calculated volume	130.8	Å³ per cell
E	-54.32	eV for the cell shown

Record 7
The following is a DFT calculation (PBE) of a geometry-optimized Sc3H12Pd5 structure.

a b c (Å): 9.8346 9.8346 9.8346
angles (deg): 109.47 109.47 109.47
Element x y z (fractional)
Sc 0.1250 0.2500 0.3750
Sc 0.1250 0.3750 0.7500
Sc 0.2500 0.3750 0.1250
Sc 0.2500 0.8750 0.6250
Sc 0.3750 0.1250 0.2500
Sc 0.3750 0.7500 0.1250
Sc 0.6250 0.2500 0.8750
Sc 0.6250 0.8750 0.7500
Sc 0.7500 0.1250 0.3750
Sc 0.7500 0.6250 0.8750
Sc 0.8750 0.6250 0.2500
Sc 0.8750 0.7500 0.6250
H 0.0425 0.2131 0.1318
H 0.0425 0.3295 0.9108
H 0.0813 0.7131 0.6705
H 0.0813 0.8682 0.4108
H 0.0892 0.6318 0.4187
H 0.0892 0.9575 0.6705
H 0.1318 0.0425 0.2131
H 0.1318 0.5892 0.9187
H 0.1705 0.2131 0.5813
H 0.1705 0.4575 0.5892
H 0.2131 0.1318 0.0425
H 0.2131 0.5813 0.1705
H 0.2869 0.3295 0.9187
H 0.2869 0.4575 0.3682
H 0.3295 0.9108 0.0425
H 0.3295 0.9187 0.2869
H 0.3682 0.2869 0.4575
H 0.3682 0.5813 0.9108
H 0.4108 0.0813 0.8682
H 0.4108 0.8295 0.5425
H 0.4187 0.0892 0.6318
H 0.4187 0.8295 0.7869
H 0.4575 0.3682 0.2869
H 0.4575 0.5892 0.1705
H 0.5425 0.4108 0.8295
H 0.5425 0.6318 0.7131
H 0.5813 0.1705 0.2131
H 0.5813 0.9108 0.3682
H 0.5892 0.1705 0.4575
H 0.5892 0.9187 0.1318
H 0.6318 0.4187 0.0892
H 0.6318 0.7131 0.5425
H 0.6705 0.0813 0.7131
H 0.6705 0.0892 0.9575
H 0.7131 0.5425 0.6318
H 0.7131 0.6705 0.0813
H 0.7869 0.4187 0.8295
H 0.7869 0.8682 0.9575
H 0.8295 0.5425 0.4108
H 0.8295 0.7869 0.4187
H 0.8682 0.4108 0.0813
H 0.8682 0.9575 0.7869
H 0.9108 0.0425 0.3295
H 0.9108 0.3682 0.5813
H 0.9187 0.1318 0.5892
H 0.9187 0.2869 0.3295
H 0.9575 0.6705 0.0892
H 0.9575 0.7869 0.8682
Pd 0.0000 0.0000 0.0000
Pd 0.0000 0.0000 0.5000
Pd 0.0000 0.5000 0.0000
Pd 0.0000 0.5000 0.5000
Pd 0.1250 0.7500 0.8750
Pd 0.1250 0.8750 0.2500
Pd 0.2500 0.1250 0.8750
Pd 0.2500 0.6250 0.3750
Pd 0.3750 0.2500 0.6250
Pd 0.3750 0.6250 0.7500
Pd 0.5000 0.0000 0.0000
Pd 0.5000 0.0000 0.5000
Pd 0.5000 0.5000 0.0000
Pd 0.5000 0.5000 0.5000
Pd 0.6250 0.3750 0.2500
Pd 0.6250 0.7500 0.3750
Pd 0.7500 0.3750 0.6250
Pd 0.7500 0.8750 0.1250
Pd 0.8750 0.1250 0.7500
Pd 0.8750 0.2500 0.1250

Properties
calculated volume	732.2	Å³ per cell
E	-366.04	eV for the cell shown

Record 8
The following is a DFT calculation (PBE) of a geometry-optimized ScHPd structure.

a b c (Å): 3.2904 3.2904 3.6096
angles (deg): 90.00 90.00 90.00
Element x y z (fractional)
Sc 0.0000 0.0000 0.0000
H 0.5000 0.5000 0.0000
Pd 0.5000 0.5000 0.5000

Properties
energy above the most stable polymorph in this dataset	67	meV per atom
calculated volume	39.1	Å³ per cell
E	-16.83	eV for the cell shown

Record 9
The following is a DFT calculation (PBE) of a geometry-optimized ScH4Pd4 structure.

a b c (Å): 5.1598 5.1598 5.1598
angles (deg): 98.61 98.61 134.47
Element x y z (fractional)
Sc 0.0000 0.0000 0.0000
H 0.1431 0.3257 0.4688
H 0.3257 0.8569 0.1827
H 0.6743 0.1431 0.8173
H 0.8569 0.6743 0.5312
Pd 0.2059 0.6043 0.8103
Pd 0.3957 0.2059 0.6016
Pd 0.6043 0.7941 0.3984
Pd 0.7941 0.3957 0.1897

Properties
calculated volume	90.4	Å³ per cell
E	-44.26	eV for the cell shown

Record 10
The following is a DFT calculation (PBE) of a geometry-optimized ScH4Pd6 structure.

a b c (Å): 5.6657 5.6745 5.6775
angles (deg): 118.63 119.80 91.02
Element x y z (fractional)
Sc 0.0000 0.0000 0.0000
H 0.3608 0.6264 0.7827
H 0.5828 0.3916 0.2427
H 0.6852 0.2452 0.8590
H 0.8884 0.6827 0.2549
Pd 0.0006 0.4937 0.9942
Pd 0.0319 0.0446 0.5169
Pd 0.4838 0.4869 0.5157
Pd 0.5020 0.0093 0.9986
Pd 0.5054 0.9597 0.4656
Pd 0.9782 0.5240 0.5006

Properties
calculated volume	130.9	Å³ per cell
E	-54.09	eV for the cell shown

Record 11
The following is a DFT calculation (PBE) of a geometry-optimized ScH6Pd7 structure.

a b c (Å): 5.0335 5.0339 7.5541
angles (deg): 90.08 109.33 119.94
Element x y z (fractional)
Sc 0.0000 0.0000 0.0000
H 0.1455 0.7299 0.2203
H 0.1987 0.9238 0.7828
H 0.4915 0.4151 0.2200
H 0.5075 0.5834 0.7843
H 0.8055 0.0758 0.2205
H 0.8584 0.2764 0.7841
Pd 0.1106 0.2231 0.6731
Pd 0.2246 0.4431 0.3297
Pd 0.4504 0.8883 0.6730
Pd 0.5486 0.1054 0.3301
Pd 0.6679 0.3345 0.0015
Pd 0.7842 0.5623 0.6726
Pd 0.8872 0.7817 0.3302

Properties
calculated volume	153.2	Å³ per cell
E	-66.25	eV for the cell shown

Record 12
The following is a DFT calculation (PBE) of a geometry-optimized ScHPd5 structure.

a b c (Å): 3.9436 3.9436 6.6392
angles (deg): 90.00 90.00 90.00
Element x y z (fractional)
Sc 0.0000 0.0000 0.0000
H 0.5000 0.5000 0.5000
Pd 0.0000 0.5000 0.2991
Pd 0.0000 0.5000 0.7009
Pd 0.5000 0.0000 0.2991
Pd 0.5000 0.0000 0.7009
Pd 0.5000 0.5000 0.0000

Properties
calculated volume	103.3	Å³ per cell
E	-37.69	eV for the cell shown

Record 13
The following is a DFT calculation (PBE) of a geometry-optimized Sc2HPd2 structure.

a b c (Å): 6.0377 6.0377 4.4404
angles (deg): 90.00 90.00 90.00
Element x y z (fractional)
Sc 0.1763 0.3237 0.0000
Sc 0.3237 0.8237 0.0000
Sc 0.6763 0.1763 0.0000
Sc 0.8237 0.6763 0.0000
H 0.0000 0.0000 0.0000
H 0.5000 0.5000 0.0000
Pd 0.1540 0.6540 0.5000
Pd 0.3460 0.1540 0.5000
Pd 0.6540 0.8460 0.5000
Pd 0.8460 0.3460 0.5000

Properties
calculated volume	161.9	Å³ per cell
E	-56.86	eV for the cell shown

Record 14
The following is a DFT calculation (PBE) of a geometry-optimized ScH5Pd4 structure.

a b c (Å): 5.4350 7.8636 4.8314
angles (deg): 90.00 90.00 90.00
Element x y z (fractional)
Sc 0.2500 0.2500 0.1639
Sc 0.7500 0.7500 0.8361
H 0.0377 0.5451 0.2112
H 0.0377 0.9549 0.2112
H 0.2500 0.7500 0.6523
H 0.4623 0.5451 0.2112
H 0.4623 0.9549 0.2112
H 0.5377 0.0451 0.7888
H 0.5377 0.4549 0.7888
H 0.7500 0.2500 0.3477
H 0.9623 0.0451 0.7888
H 0.9623 0.4549 0.7888
Pd 0.0041 0.7500 0.3722
Pd 0.2500 0.5560 0.8930
Pd 0.2500 0.9440 0.8930
Pd 0.4959 0.7500 0.3722
Pd 0.5041 0.2500 0.6278
Pd 0.7500 0.0560 0.1070
Pd 0.7500 0.4440 0.1070
Pd 0.9959 0.2500 0.6278

Properties
energy above the most stable polymorph in this dataset	38	meV per atom
calculated volume	206.5	Å³ per cell
E	-92.24	eV for the cell shown

Record 15
The following is a DFT calculation (PBE) of a geometry-optimized ScHPd structure.

a b c (Å): 3.4298 3.4298 6.5786
angles (deg): 90.00 90.00 90.00
Element x y z (fractional)
Sc 0.2500 0.2500 0.1732
Sc 0.7500 0.7500 0.8268
H 0.2500 0.7500 0.0000
H 0.7500 0.2500 0.0000
Pd 0.2500 0.2500 0.6157
Pd 0.7500 0.7500 0.3843

Properties
energy above the most stable polymorph in this dataset	0	meV per atom
calculated volume	77.4	Å³ per cell
E	-34.05	eV for the cell shown

Record 16
The following is a DFT calculation (PBE) of a geometry-optimized ScH4Pd3 structure.

a b c (Å): 4.2063 4.2063 4.2063
angles (deg): 90.00 90.00 90.00
Element x y z (fractional)
Sc 0.0000 0.0000 0.0000
H 0.0000 0.0000 0.5000
H 0.0000 0.5000 0.0000
H 0.5000 0.0000 0.0000
H 0.5000 0.5000 0.5000
Pd 0.0000 0.5000 0.5000
Pd 0.5000 0.0000 0.5000
Pd 0.5000 0.5000 0.0000

Properties
calculated volume	74.4	Å³ per cell
E	-37.95	eV for the cell shown